Record 1
Here is a relaxed AcZrNiN3 crystal from Alexandria. Energies are from PBE-GGA.

```
data_AcZrNiN3
_chemical_formula_sum 'Ac2 Zr2 Ni2 N6'
_cell_length_a 7.203
_cell_length_b 3.395
_cell_length_c 7.546
_cell_angle_alpha 90.00
_cell_angle_beta 105.92
_cell_angle_gamma 90.00
_symmetry_space_group_name_H-M 'P 1 21/m 1'
_symmetry_Int_Tables_number 11
loop_
_symmetry_equiv_pos_as_xyz
'x,y,z'
'-x,-y,-z'
'-x,y+1/2,-z'
'x,-y+1/2,z'
loop_
_atom_site_label
_atom_site_fract_x
_atom_site_fract_y
_atom_site_fract_z
Ac1 0.197 0.250 0.224
Zr1 0.333 0.750 0.851
Ni1 0.093 0.250 0.593
N1 0.130 0.250 0.867
N2 0.185 0.750 0.514
N3 0.446 0.750 0.149
```

- Crystal system: monoclinic
- Calculated total energy: -0.2978 Ha/atom
- Formation energy from raw total energies: -0.869 eV/atom


Record 2
Here is a relaxed PuZnGaHg crystal from Alexandria. Energies are from PBE-GGA.

```
data_PuZnGaHg
_chemical_formula_sum 'Pu4 Zn4 Ga4 Hg4'
_cell_length_a 6.927
_cell_length_b 6.927
_cell_length_c 6.927
_cell_angle_alpha 90.00
_cell_angle_beta 90.00
_cell_angle_gamma 90.00
_symmetry_space_group_name_H-M 'F -4 3 m'
_symmetry_Int_Tables_number 216
_symmetry_space_group_name_Hall 'F -4 2 3'
loop_
_atom_site_label
_atom_site_fract_x
_atom_site_fract_y
_atom_site_fract_z
Pu1 0.000 0.000 0.000
Zn1 0.250 0.250 0.750
Ga1 0.250 0.250 0.250
Hg1 0.000 0.000 0.500
```

- Energy of formation: -123 meV per atom
- Crystal system: cubic
- Calculated total energy: -0.1785 Ha/atom


Record 3
Here is a relaxed SbWN2 crystal from Alexandria. Energies are from PBE-GGA.

```
data_SbWN2
_chemical_formula_sum 'Sb4 W4 N8'
_cell_length_a 6.059
_cell_length_b 6.059
_cell_length_c 8.615
_cell_angle_alpha 90.00
_cell_angle_beta 90.00
_cell_angle_gamma 90.00
_symmetry_space_group_name_H-M 'I -4 2 d'
_symmetry_Int_Tables_number 122
_symmetry_space_group_name_Hall 'I -4 2bw'
loop_
_atom_site_label
_atom_site_fract_x
_atom_site_fract_y
_atom_site_fract_z
Sb1 0.000 0.000 0.000
W1 0.000 0.000 0.500
N1 0.001 0.250 0.625
```

- Crystal system: tetragonal
- Calculated total energy: -0.3013 Ha/atom
- Formation energy from raw total energies: 0.233 eV/atom


Record 4
Here is a relaxed Hg3As2Cl2 crystal from Alexandria. Energies are from PBE-GGA.

```
data_Hg3As2Cl2
_chemical_formula_sum 'Hg3 As2 Cl2'
_cell_length_a 5.803
_cell_length_b 5.914
_cell_length_c 8.248
_cell_angle_alpha 105.23
_cell_angle_beta 92.56
_cell_angle_gamma 113.13
_symmetry_space_group_name_H-M 'P -1'
_symmetry_Int_Tables_number 2
loop_
_symmetry_equiv_pos_as_xyz
'x,y,z'
'-x,-y,-z'
loop_
_atom_site_label
_atom_site_fract_x
_atom_site_fract_y
_atom_site_fract_z
Hg1 0.000 0.000 0.000
Hg2 0.289 0.610 0.329
As1 0.210 0.479 0.008
Cl1 0.370 0.748 0.638
```

- Crystal system: triclinic
- Calculated total energy: -0.0837 Ha/atom
- Formation energy from raw total energies: -0.293 eV/atom